# Ti2FeRh

An optimized crystal structure of Ti2FeRh (PBE, the Alexandria database).

Calculated values
Space group: No. 71
Total moment in μB per cell: 0.3
ΔH_f (0 K) in eV per formula unit: 0.8
Energy in eV/atom: -7.693

a b c (Å): 5.361 5.361 5.361
angles (deg): 150.58 128.19 60.70
Fractional coordinates of all 4 atoms:
1 Ti 0.237 0.237 0.000
2 Ti 0.763 0.763 0.000
3 Fe 0.000 0.000 0.000
4 Rh 0.500 0.500 0.000



# Sr2Ge2Se5

An optimized crystal structure of Sr2Ge2Se5 (PBE, the Alexandria database).

Calculated values
Space group: No. 14
Total moment in μB per cell: 0.0
Energy in eV/atom: -4.407
ΔE_f (raw) in eV/atom: -1.07

a b c (Å): 8.589 12.467 12.232
angles (deg): 90.00 130.53 90.00
Fractional coordinates of all 36 atoms:
1 Sr 0.011 0.162 0.467
2 Sr 0.011 0.338 0.967
3 Sr 0.465 0.699 0.524
4 Sr 0.465 0.801 0.024
5 Sr 0.535 0.199 0.976
6 Sr 0.535 0.301 0.476
7 Sr 0.989 0.662 0.033
8 Sr 0.989 0.838 0.533
9 Ge 0.158 0.050 0.164
10 Ge 0.158 0.450 0.664
11 Ge 0.485 0.019 0.687
12 Ge 0.485 0.481 0.187
13 Ge 0.515 0.519 0.813
14 Ge 0.515 0.981 0.313
15 Ge 0.842 0.550 0.336
16 Ge 0.842 0.950 0.836
17 Se 0.062 0.206 0.219
18 Se 0.062 0.294 0.719
19 Se 0.097 0.090 0.940
20 Se 0.097 0.410 0.440
21 Se 0.251 0.558 0.957
22 Se 0.251 0.942 0.457
23 Se 0.325 0.509 0.288
24 Se 0.325 0.991 0.788
25 Se 0.485 0.712 0.797
26 Se 0.485 0.788 0.297
27 Se 0.515 0.212 0.703
28 Se 0.515 0.288 0.203
29 Se 0.675 0.009 0.212
30 Se 0.675 0.491 0.712
31 Se 0.749 0.058 0.543
32 Se 0.749 0.442 0.043
33 Se 0.903 0.590 0.560
34 Se 0.903 0.910 0.060
35 Se 0.938 0.706 0.281
36 Se 0.938 0.794 0.781



# Hf2ZrCd

An optimized crystal structure of Hf2ZrCd (PBE, the Alexandria database).

Calculated values
Space group: No. 129
Total moment in μB per cell: 0.0
ΔH_f (0 K) in eV per formula unit: 0.0
Energy in eV/atom: -7.339

a b c (Å): 3.190 3.190 17.556
angles (deg): 90.00 90.00 90.00
Fractional coordinates of all 8 atoms:
1 Hf 0.250 0.250 0.062
2 Hf 0.250 0.250 0.317
3 Hf 0.750 0.750 0.683
4 Hf 0.750 0.750 0.938
5 Zr 0.250 0.250 0.809
6 Zr 0.750 0.750 0.191
7 Cd 0.250 0.250 0.559
8 Cd 0.750 0.750 0.441



# Ba6NaMg

An optimized crystal structure of Ba6NaMg (PBE, the Alexandria database).

Calculated values
Space group: No. 2
Total moment in μB per cell: 0.3
ΔH_f (0 K) in eV per formula unit: 1.5
Energy in eV/atom: -1.618

a b c (Å): 8.612 8.618 9.211
angles (deg): 117.79 90.20 119.76
Fractional coordinates of all 8 atoms:
1 Ba 0.048 0.307 0.246
2 Ba 0.241 0.303 0.754
3 Ba 0.436 0.986 0.246
4 Ba 0.564 0.014 0.754
5 Ba 0.759 0.697 0.246
6 Ba 0.952 0.693 0.754
7 Na 0.500 0.500 0.500
8 Mg 0.000 0.500 0.000



# AlCuIr2Pd

An optimized crystal structure of AlCuIr2Pd (PBE, the Alexandria database).

Calculated values
Space group: No. 123
Total moment in μB per cell: 0.0
ΔH_f (0 K) in eV per formula unit: 5.0
Energy in eV/atom: -5.156

a b c (Å): 4.504 4.504 4.233
angles (deg): 90.00 90.00 90.00
Fractional coordinates of all 5 atoms:
1 Al 0.000 0.000 0.000
2 Cu 0.000 0.000 0.500
3 Ir 0.000 0.500 0.500
4 Ir 0.500 0.000 0.500
5 Pd 0.500 0.500 0.000



# FeRePt

An optimized crystal structure of FeRePt (PBE, the Alexandria database).

Calculated values
Space group: No. 107
Total moment in μB per cell: 1.7
ΔH_f (0 K) in eV per formula unit: 0.3
Energy in eV/atom: -8.881
Energy relative to the lowest polymorph listed for this composition in meV/atom: 136

a b c (Å): 4.757 4.757 4.757
angles (deg): 140.93 140.93 56.44
Fractional coordinates of all 3 atoms:
1 Fe 0.000 0.000 0.000
2 Re 0.353 0.353 0.000
3 Pt 0.669 0.669 0.000